The following is a PBE-GGA calculation of Cr2SiP after structural relaxation, from the Alexandria database.

a = 3.0140 Å, b = 3.0140 Å, c = 5.1314 Å
α = 90.00°, β = 90.00°, γ = 90.00°
Fractional coordinates of all 4 atoms:
Si 0.5000 0.5000 0.7628
P 0.0000 0.0000 0.4837
Cr 0.5000 0.5000 0.2821
Cr 0.0000 0.0000 0.9714

Its uncorrected formation energy is -331 meV per atom. The calculation puts the volume at 11.7 A^3/atom. The crystal system is tetragonal.